# K2Cd7In12

K2Cd7In12 after structural relaxation (PBE, Alexandria via LeMat-Bulk).

a b c (Å): 4.822 11.941 11.941
angles (deg): 120.00 90.00 90.00
Sites, in units of the cell vectors:
1 In 0.219 0.119 0.257
2 In 0.762 0.569 0.623
3 In 0.238 0.946 0.569
4 In 0.781 0.257 0.138
5 In 0.219 0.743 0.862
6 In 0.219 0.138 0.881
7 In 0.781 0.881 0.743
8 In 0.238 0.431 0.377
9 In 0.781 0.862 0.119
10 In 0.762 0.377 0.946
11 In 0.238 0.623 0.054
12 In 0.762 0.054 0.431
13 Cd 0.276 0.707 0.586
14 Cd 0.724 0.293 0.414
15 Cd 0.276 0.414 0.120
16 Cd 0.276 0.880 0.293
17 Cd 0.500 0.000 0.000
18 Cd 0.724 0.120 0.707
19 Cd 0.724 0.586 0.880
20 K 0.237 0.333 0.667
21 K 0.763 0.667 0.333

# KCdIn2

KCdIn2 after structural relaxation (PBE, Alexandria via LeMat-Bulk).

a b c (Å): 5.286 5.286 7.548
angles (deg): 84.48 84.48 36.57
Sites, in units of the cell vectors:
1 In 0.256 0.256 0.200
2 In 0.999 0.999 0.994
3 K 0.500 0.500 0.505
4 Cd 0.745 0.745 0.801

# K2Cd3In5

K2Cd3In5 after structural relaxation (PBE, Alexandria via LeMat-Bulk).

a b c (Å): 4.869 4.869 12.905
angles (deg): 90.00 90.00 90.00
Sites, in units of the cell vectors:
1 In 0.000 0.500 0.143
2 In 0.500 0.500 0.500
3 In 0.500 0.500 0.000
4 In 0.000 0.000 0.000
5 In 0.500 0.000 0.857
6 K 0.500 0.000 0.254
7 K 0.000 0.500 0.746
8 Cd 0.000 0.000 0.500
9 Cd 0.000 0.500 0.367
10 Cd 0.500 0.000 0.633

# K2Cd7In2

K2Cd7In2 after structural relaxation (PBE, Alexandria via LeMat-Bulk).

a b c (Å): 6.998 7.865 7.865
angles (deg): 61.76 116.13 116.13
Sites, in units of the cell vectors:
1 In 0.994 0.774 0.774
2 In 0.006 0.226 0.226
3 Cd 0.863 0.557 0.182
4 Cd 0.137 0.818 0.443
5 Cd 0.000 0.000 0.000
6 Cd 0.447 0.237 0.237
7 Cd 0.863 0.182 0.557
8 Cd 0.553 0.763 0.763
9 Cd 0.137 0.443 0.818
10 K 0.500 0.254 0.746
11 K 0.500 0.746 0.254

# K3Cd7In2

K3Cd7In2 after structural relaxation (PBE, Alexandria via LeMat-Bulk).

a b c (Å): 6.351 6.351 10.799
angles (deg): 72.90 72.90 60.00
Sites, in units of the cell vectors:
1 Cd 0.413 0.413 0.253
2 Cd 0.587 0.078 0.747
3 Cd 0.922 0.413 0.253
4 Cd 0.500 0.500 0.500
5 Cd 0.078 0.587 0.747
6 Cd 0.587 0.587 0.747
7 Cd 0.413 0.922 0.253
8 In 0.665 0.665 0.005
9 In 0.335 0.335 0.995
10 K 0.144 0.144 0.569
11 K 0.856 0.856 0.431
12 K 0.000 0.000 0.000

# KCd2In

KCd2In after structural relaxation (PBE, Alexandria via LeMat-Bulk).

a b c (Å): 5.316 5.316 7.298
angles (deg): 83.81 83.81 36.71
Sites, in units of the cell vectors:
1 In 0.750 0.750 0.750
2 K 0.250 0.250 0.250
3 Cd 0.492 0.492 0.554
4 Cd 0.008 0.008 0.946

Number 1: N(E_F) 0.406 states/eV per atom, M_tot 0.00 Bohr magnetons per cell, energy relative to the elements -26 meV/atom. Number 2: N(E_F) 0.514 states/eV per atom, M_tot 0.00 Bohr magnetons per cell, energy relative to the elements -11 meV/atom. Number 3: N(E_F) 0.674 states/eV per atom, M_tot 0.00 Bohr magnetons per cell, energy relative to the elements -93 meV/atom. Number 4: N(E_F) 0.449 states/eV per atom, M_tot 0.00 Bohr magnetons per cell, energy relative to the elements -29 meV/atom. Number 5: N(E_F) 0.415 states/eV per atom, M_tot 0.00 Bohr magnetons per cell, energy relative to the elements -79 meV/atom. Number 6: N(E_F) 0.361 states/eV per atom, M_tot 0.00 Bohr magnetons per cell, energy relative to the elements -1 meV/atom.